No. 1
## HoPaPb (PBE)

Data for HoPaPb after structural relaxation.

abc: 4.019 4.019 10.418
angles: 90.00 90.00 90.00
Space group I4mm (No. 107)
Symmetry-distinct sites (fractional):
Ho  0.000  0.000  0.000
Pa  0.000  0.000  0.689
Pb  0.000  0.000  0.351

The theoretical density is 11.90 g/cm³. Its formation enthalpy at 0 K is 0.1274 eV per atom. As for the density of states at the Fermi level: 1.8528 states/eV/atom.



No. 2
## HoPaPb2 (PBE)

Data for HoPaPb2 after structural relaxation.

abc: 4.990 4.990 4.434
angles: 90.00 90.00 90.00
Space group P4/mmm (No. 123)
Symmetry-distinct sites (fractional):
Ho  0.000  0.000  0.000
Pa  0.500  0.500  0.000
Pb  0.000  0.500  0.500

The theoretical density is 12.19 g/cm³. Its formation enthalpy at 0 K is -0.1077 eV per atom. As for the density of states at the Fermi level: 1.6329 states/eV/atom.



No. 3
## HoPaPb6 (PBE)

Data for HoPaPb6 after structural relaxation.

abc: 4.832 4.832 9.728
angles: 90.00 90.00 90.00
Space group P4/mmm (No. 123)
Symmetry-distinct sites (fractional):
Ho  0.000  0.000  0.000
Pa  0.000  0.000  0.500
Pb  0.000  0.500  0.250
Pb  0.500  0.500  0.000
Pb  0.500  0.500  0.500

The theoretical density is 11.98 g/cm³. Its formation enthalpy at 0 K is -0.1178 eV per atom. As for the density of states at the Fermi level: 1.0232 states/eV/atom.



Q: Among the records above, which one has the lowest formation enthalpy at 0 K?
A: HoPaPb6



Q: Among the records above, which one has the highest theoretical density?
A: HoPaPb2